Compound: Hf2Be2GeRh5
Source: Alexandria
Functional: PBE
Structure: optimized geometry

a b c (Å): 9.237 9.237 3.282
angles (deg): 90.00 90.00 90.00
Fractional coordinates of all 20 atoms:
Hf (0.175, 0.325, 0.000)
Hf (0.325, 0.825, 0.000)
Hf (0.675, 0.175, 0.000)
Hf (0.825, 0.675, 0.000)
Be (0.122, 0.622, 0.000)
Be (0.378, 0.122, 0.000)
Be (0.622, 0.878, 0.000)
Be (0.878, 0.378, 0.000)
Ge (0.000, 0.000, 0.000)
Ge (0.500, 0.500, 0.000)
Rh (0.000, 0.500, 0.500)
Rh (0.071, 0.791, 0.500)
Rh (0.209, 0.071, 0.500)
Rh (0.291, 0.571, 0.500)
Rh (0.429, 0.291, 0.500)
Rh (0.500, 0.000, 0.500)
Rh (0.571, 0.709, 0.500)
Rh (0.709, 0.429, 0.500)
Rh (0.791, 0.929, 0.500)
Rh (0.929, 0.209, 0.500)

**Fermi-level density of states**: 4.40 states/eV/cell
**Space-group type**: P4/mbm (127)
**Uncorrected energy**: -0.284 Ha/atom
**M_tot**: 0.0 μB per cell